Entry 1:
A geometry-optimized HoEr2Mg3Ir2Pt structure, computed with PBE.

abc: 4.022 7.284 7.284
angles: 120.00 90.00 90.00
Atoms (fractional coordinates):
1 Er 0.000 0.413 0.000
2 Er 0.000 0.000 0.413
3 Ho 0.000 0.587 0.587
4 Ir 0.500 0.667 0.333
5 Ir 0.500 0.333 0.667
6 Mg 0.500 0.753 0.000
7 Mg 0.500 0.247 0.247
8 Mg 0.500 0.000 0.753
9 Pt 0.000 0.000 0.000

Properties
The space group is No. 38. Its final energy is -5.48 eV per atom.

Entry 2:
A geometry-optimized TbInTc structure, computed with PBE.

abc: 4.707 4.707 4.707
angles: 60.00 60.00 60.00
Atoms (fractional coordinates):
1 In 0.000 0.000 0.000
2 Tb 0.250 0.250 0.250
3 Tc 0.750 0.750 0.750

Properties
The space group is No. 216. Its final energy is -5.41 eV per atom.

Entry 3:
A geometry-optimized TmUBe structure, computed with PBE.

abc: 4.576 4.576 4.576
angles: 60.00 60.00 60.00
Atoms (fractional coordinates):
1 Be 0.000 0.000 0.000
2 Tm 0.250 0.250 0.250
3 U 0.750 0.750 0.750

Properties
The space group is No. 216. As for the energy above the lowest structure with this stoichiometry: 0 meV/atom.

Entry 4:
A geometry-optimized BaTbB structure, computed with PBE.

abc: 4.836 4.836 4.836
angles: 60.00 60.00 60.00
Atoms (fractional coordinates):
1 B 0.250 0.250 0.250
2 Ba 0.000 0.000 0.000
3 Tb 0.750 0.750 0.750

Properties
The space group is No. 216. As for the energy above the lowest structure with this stoichiometry: 810 meV/atom.

Please write out number 4 again, unchanged.
A geometry-optimized BaTbB structure, computed with PBE.

abc: 4.836 4.836 4.836
angles: 60.00 60.00 60.00
Atoms (fractional coordinates):
1 B 0.250 0.250 0.250
2 Ba 0.000 0.000 0.000
3 Tb 0.750 0.750 0.750

Properties
The space group is No. 216. As for the energy above the lowest structure with this stoichiometry: 810 meV/atom.